DFT (PBE) results for an optimized crystal structure of Y4Er3Th.

* total DFT energy (no corrections): -5.426 eV per atom
* energy relative to the elements: 444.8 meV/atom
* DOS(E_F): 37.02 states/eV/cell
* ΔE to the lowest computed polymorph: 0.211 eV per atom

Cell lengths 11.740, 13.280, 3.375 Å; angles 90.00, 90.00, 90.00 degrees
Space group Cmmm (No. 65)
Inequivalent atoms, fractional coordinates:
Y: 0.000 0.249 0.000 [4 per cell]
Y: 0.244 0.500 0.500 [4 per cell]
Er: 0.000 0.000 0.000 [2 per cell]
Er: 0.250 0.250 0.500 [4 per cell]
Th: 0.000 0.500 0.000 [2 per cell]

***

DFT (PBE) results for an optimized crystal structure of Co2PtBr.

* total DFT energy (no corrections): -4.672 eV per atom
* formation energy (no corrections): 78.1 kJ/mol of atoms
* DOS(E_F): 7.85 states/eV/cell
* ΔE to the lowest computed polymorph: 0.509 eV per atom

Cell lengths 3.117, 4.352, 4.447 Å; angles 90.00, 90.00, 90.00 degrees
Space group Pmmm (No. 47)
Inequivalent atoms, fractional coordinates:
Co: 0.000 0.000 0.000 [1 per cell]
Co: 0.500 0.000 0.500 [1 per cell]
Pt: 0.000 0.500 0.500 [1 per cell]
Br: 0.500 0.500 0.000 [1 per cell]

***

DFT (PBE) results for an optimized crystal structure of BiOsAu2.

* total DFT energy (no corrections): -4.607 eV per atom
* energy relative to the elements: 809.1 meV/atom
* DOS(E_F): 10.84 states/eV/cell
* ΔE to the lowest computed polymorph: 0.090 eV per atom

Cell lengths 6.806, 6.806, 6.806 Å; angles 90.00, 90.00, 90.00 degrees
Space group Fm-3m (No. 225)
Inequivalent atoms, fractional coordinates:
Bi: 0.000 0.000 0.000 [4 per cell]
Os: 0.000 0.000 0.500 [4 per cell]
Au: 0.250 0.250 0.250 [8 per cell]

***

DFT (PBE) results for an optimized crystal structure of LiTa2Se.

* total DFT energy (no corrections): -6.985 eV per atom
* formation energy (no corrections): 28.1 kJ/mol of atoms
* DOS(E_F): 3.26 states/eV/cell

Cell lengths 3.152, 3.510, 5.862 Å; angles 90.00, 90.00, 90.00 degrees
Space group Pmmm (No. 47)
Inequivalent atoms, fractional coordinates:
Li: 0.000 0.000 0.000 [1 per cell]
Ta: 0.500 0.500 0.243 [2 per cell]
Se: 0.000 0.000 0.500 [1 per cell]